(1)
Ca4Zn3 (GGA-PBE, optimized geometry); energy relative to the elements = -0.167 eV/atom; total magnetic moment = 0.00 Bohr magnetons per cell; polymorph energy (0 for the lowest one) = 0 meV per atom; electronic total energy = -1.8567 eV per atom
1.0
2.6150 1.5098 8.3689
-2.6150 1.5098 8.3689
0.0000 -3.0195 8.3689
Ca Zn
4 3
direct
0.1242 0.1242 0.1242
0.3752 0.3752 0.3752
0.6248 0.6248 0.6248
0.8758 0.8758 0.8758
0.2481 0.2481 0.2481
0.5000 0.5000 0.5000
0.7519 0.7519 0.7519

(2)
RbCd2Hg10 (GGA-PBE, optimized geometry); energy relative to the elements = -0.069 eV/atom; total magnetic moment = 0.00 Bohr magnetons per cell; electronic total energy = -0.5162 eV per atom
1.0
0.0000 7.6438 7.9239
3.1077 0.0000 7.9239
3.1077 7.6438 0.0000
Rb Cd Hg
1 2 10
direct
0.0000 0.0000 0.0000
0.0000 0.5000 0.0000
0.5000 0.0000 0.5000
0.0000 0.0000 0.5000
0.0023 0.3549 0.6451
0.2840 0.4974 0.5026
0.3549 0.0023 0.9977
0.4974 0.2840 0.7160
0.5000 0.5000 0.0000
0.5026 0.7160 0.2840
0.6451 0.9977 0.0023
0.7160 0.5026 0.4974
0.9977 0.6451 0.3549

(3)
Y8TeSe6 (GGA-PBE, optimized geometry); uncorrected formation energy = -1386 meV/atom; total magnetic moment = 0.00 Bohr magnetons per cell; electronic total energy = -6.4372 eV per atom
1.0
10.5154 0.0000 0.0000
-5.2577 9.1066 0.0000
0.0000 0.0000 4.1043
Y Te Se
8 1 6
direct
0.0365 0.7106 0.2588
0.2894 0.3259 0.2588
0.3259 0.0365 0.7412
0.3333 0.6667 0.7464
0.6667 0.3333 0.2536
0.6741 0.9635 0.2588
0.7106 0.6741 0.7412
0.9635 0.2894 0.7412
0.0000 0.0000 0.5000
0.1309 0.4817 0.2458
0.3507 0.8691 0.2458
0.4817 0.3507 0.7542
0.5183 0.6493 0.2458
0.6493 0.1309 0.7542
0.8691 0.5183 0.7542

(4)
CeEuCdRu (GGA-PBE, optimized geometry); energy relative to the elements = -0.043 eV/atom; total magnetic moment = 7.17 Bohr magnetons per cell; electronic total energy = -6.6426 eV per atom
1.0
0.0000 3.6390 3.6390
3.6390 0.0000 3.6390
3.6390 3.6390 0.0000
Ce Eu Cd Ru
1 1 1 1
direct
0.0000 0.0000 0.0000
0.5000 0.5000 0.5000
0.7500 0.7500 0.7500
0.2500 0.2500 0.2500

(5)
Sm4HoSb5 (GGA-PBE, optimized geometry); uncorrected formation energy = -1163 meV/atom; total magnetic moment = 0.00 Bohr magnetons per cell; electronic total energy = -5.5692 eV per atom
1.0
-2.2258 2.2258 15.7284
2.2258 -2.2258 15.7284
2.2258 2.2258 -15.7284
Sm Ho Sb
4 1 5
direct
0.0996 0.0996 0.0000
0.3006 0.3006 0.0000
0.6994 0.6994 0.0000
0.9004 0.9004 0.0000
0.5000 0.5000 0.0000
0.0000 0.0000 0.0000
0.2000 0.2000 0.0000
0.4014 0.4014 0.0000
0.5986 0.5986 0.0000
0.8000 0.8000 0.0000

(6)
Ga3Cu7Ag (GGA-PBE, optimized geometry); energy relative to the elements = 0.127 eV/atom; total magnetic moment = 0.00 Bohr magnetons per cell; electronic total energy = -3.5643 eV per atom
1.0
4.1573 -4.3485 0.0000
4.1573 4.3485 0.0000
-2.0634 0.0000 4.5180
Ga Cu Ag
3 7 1
direct
0.0000 0.0000 0.0000
0.2177 0.7823 0.5000
0.7823 0.2177 0.5000
0.0550 0.5819 0.8117
0.2045 0.2045 0.5294
0.4181 0.9450 0.1883
0.5000 0.5000 0.5000
0.5819 0.0550 0.8117
0.7955 0.7955 0.4706
0.9450 0.4181 0.1883
0.5000 0.5000 0.0000

(7)
As2OsBr (GGA-PBE, optimized geometry); uncorrected formation energy = 1120 meV/atom; total magnetic moment = 0.00 Bohr magnetons per cell; polymorph energy (0 for the lowest one) = 1050 meV per atom; electronic total energy = -4.4300 eV per atom
1.0
3.8606 0.0000 0.0000
0.0000 3.8606 0.0000
0.0000 0.0000 4.8944
As Os Br
2 1 1
direct
0.0000 0.5000 0.0000
0.5000 0.0000 0.0000
0.0000 0.0000 0.5000
0.5000 0.5000 0.5000

(8)
CaMnAsH (GGA-PBE, optimized geometry); total magnetic moment = 3.40 Bohr magnetons per cell; electronic total energy = -5.4081 eV per atom
1.0
3.8355 0.0000 0.0000
0.0000 3.8355 0.0000
0.0000 0.0000 8.3056
Ca Mn As H
2 2 2 2
direct
0.2500 0.2500 0.1470
0.7500 0.7500 0.8530
0.2500 0.7500 0.5000
0.7500 0.2500 0.5000
0.2500 0.2500 0.6764
0.7500 0.7500 0.3236
0.2500 0.7500 0.0000
0.7500 0.2500 0.0000

(9)
CaZnC2O6 (GGA-PBE, optimized geometry); uncorrected formation energy = -1833 meV/atom; total magnetic moment = 0.00 Bohr magnetons per cell; electronic total energy = -6.9798 eV per atom
1.0
2.4375 1.4073 5.4228
-2.4375 1.4073 5.4228
0.0000 -2.8146 5.4228
Ca Zn C O
1 1 2 6
direct
0.0000 0.0000 0.0000
0.5000 0.5000 0.5000
0.2426 0.2426 0.2426
0.7574 0.7574 0.7574
0.0342 0.7306 0.5031
0.2694 0.4969 0.9658
0.4969 0.9658 0.2694
0.5031 0.0342 0.7306
0.7306 0.5031 0.0342
0.9658 0.2694 0.4969

(10)
Sr3HfIn (GGA-PBE, optimized geometry); energy relative to the elements = 0.846 eV/atom; total magnetic moment = 0.56 Bohr magnetons per cell; polymorph energy (0 for the lowest one) = 79 meV per atom; electronic total energy = -2.7018 eV per atom
1.0
6.0710 0.0000 0.0000
0.0000 6.0710 0.0000
0.0000 0.0000 6.0710
Sr Hf In
3 1 1
direct
0.0000 0.0000 0.5000
0.0000 0.5000 0.0000
0.5000 0.0000 0.0000
0.0000 0.0000 0.0000
0.5000 0.5000 0.5000

(11)
Be2CuI (GGA-PBE, optimized geometry); uncorrected formation energy = 1196 meV/atom; total magnetic moment = 0.00 Bohr magnetons per cell; polymorph energy (0 for the lowest one) = 458 meV per atom; electronic total energy = -2.0782 eV per atom
1.0
0.0000 3.1378 3.1378
3.1378 0.0000 3.1378
3.1378 3.1378 0.0000
Be Cu I
2 1 1
direct
0.2500 0.2500 0.2500
0.7500 0.7500 0.7500
0.0000 0.0000 0.0000
0.5000 0.5000 0.5000

(12)
YIn3Sn3 (GGA-PBE, optimized geometry); energy relative to the elements = -0.134 eV/atom; total magnetic moment = 0.00 Bohr magnetons per cell; electronic total energy = -3.9462 eV per atom
1.0
5.2337 -4.2697 0.0000
5.2337 4.2697 0.0000
-0.4464 0.0000 8.8402
Y In Sn
2 6 6
direct
0.2314 0.2314 0.0434
0.7686 0.7686 0.9566
0.2182 0.7818 0.5000
0.2983 0.7017 0.0000
0.3225 0.3225 0.4271
0.6775 0.6775 0.5729
0.7017 0.2983 0.0000
0.7818 0.2182 0.5000
0.0091 0.0091 0.7659
0.0827 0.4558 0.7325
0.4558 0.0827 0.7325
0.5442 0.9173 0.2675
0.9173 0.5442 0.2675
0.9909 0.9909 0.2341